(1)
The following is a PBE calculation of Er2LuZn after structural relaxation, from Alexandria. Values from VASP.

## Properties
- DFT formation energy (eV/f.u.) = -0.02
- spin magnetization (μB/cell) = 0.00

```
&SYSTEM
  ibrav = 0, nat = 4, ntyp = 3
/
ATOMIC_SPECIES
Er 167.26 Er.upf
Lu 174.97 Lu.upf
Zn 65.41 Zn.upf
ATOMIC_POSITIONS angstrom
Er 0.000 2.582 0.000
Er 2.582 0.000 0.000
Lu 0.000 0.000 1.946
Zn 2.582 2.582 1.946
CELL_PARAMETERS angstrom
5.164 0.000 0.000
0.000 5.164 0.000
0.000 0.000 3.892
```


(2)
The following is a PBE calculation of MoPW4 after structural relaxation, from Alexandria. Values from VASP.

## Properties
- DFT formation energy (eV/f.u.) = 4.52
- spin magnetization (μB/cell) = 0.00

```
&SYSTEM
  ibrav = 0, nat = 6, ntyp = 3
/
ATOMIC_SPECIES
Mo 95.94 Mo.upf
P 30.97 P.upf
W 183.84 W.upf
ATOMIC_POSITIONS angstrom
Mo 0.000 0.000 0.000
P 1.854 1.854 1.854
W 4.635 2.781 2.781
W 2.781 4.635 2.781
W 2.781 2.781 4.635
W 4.635 4.635 4.635
CELL_PARAMETERS angstrom
0.000 3.708 3.708
3.708 0.000 3.708
3.708 3.708 0.000
```


(3)
The following is a PBE calculation of BaTeRuI2 after structural relaxation, from Alexandria. Values from VASP.

## Properties
- spin magnetization (μB/cell) = 2.98
- formation energy from raw total energies (eV per atom) = 0.636

```
&SYSTEM
  ibrav = 0, nat = 5, ntyp = 4
/
ATOMIC_SPECIES
Ba 137.33 Ba.upf
Te 127.60 Te.upf
Ru 101.07 Ru.upf
I 126.90 I.upf
ATOMIC_POSITIONS angstrom
Ba 0.000 0.000 0.000
Te 0.000 0.000 3.361
Ru 3.284 3.284 3.361
I 0.000 3.284 0.000
I 3.284 0.000 0.000
CELL_PARAMETERS angstrom
6.569 0.000 0.000
0.000 6.569 0.000
0.000 0.000 6.722
```


(4)
The following is a PBE calculation of PbAuF3 after structural relaxation, from Alexandria. Values from VASP.

## Properties
- spin magnetization (μB/cell) = 0.00
- formation energy from raw total energies (eV per atom) = -1.027

```
&SYSTEM
  ibrav = 0, nat = 5, ntyp = 3
/
ATOMIC_SPECIES
Pb 207.20 Pb.upf
Au 196.97 Au.upf
F 19.00 F.upf
ATOMIC_POSITIONS angstrom
Pb 0.000 0.000 0.000
Au 2.276 2.276 2.276
F 0.000 2.276 2.276
F 2.276 0.000 2.276
F 2.276 2.276 0.000
CELL_PARAMETERS angstrom
4.551 0.000 0.000
0.000 4.551 0.000
0.000 0.000 4.551
```


(5)
The following is a PBE calculation of Sr2CrFe after structural relaxation, from Alexandria. Values from VASP.

## Properties
- DFT formation energy (eV/f.u.) = 4.22
- spin magnetization (μB/cell) = 2.35

```
&SYSTEM
  ibrav = 0, nat = 4, ntyp = 3
/
ATOMIC_SPECIES
Sr 87.62 Sr.upf
Cr 52.00 Cr.upf
Fe 55.84 Fe.upf
ATOMIC_POSITIONS angstrom
Sr 1.968 0.000 1.802
Sr 6.122 0.000 5.975
Cr -0.523 0.000 3.889
Fe 4.568 0.000 0.000
CELL_PARAMETERS angstrom
4.568 -1.760 0.000
4.568 1.760 0.000
-1.045 0.000 7.777
```


(6)
The following is a PBE calculation of FeCo2 after structural relaxation, from Alexandria. Values from VASP.

## Properties
- DFT formation energy (eV/f.u.) = 0.00
- spin magnetization (μB/cell) = 6.23

```
&SYSTEM
  ibrav = 0, nat = 3, ntyp = 2
/
ATOMIC_SPECIES
Fe 55.84 Fe.upf
Co 58.93 Co.upf
ATOMIC_POSITIONS angstrom
Fe 0.000 0.000 0.000
Co 0.000 0.000 2.850
Co 0.000 0.000 5.624
CELL_PARAMETERS angstrom
-1.419 1.419 4.237
1.419 -1.419 4.237
1.419 1.419 -4.237
```


(7)
The following is a PBE calculation of Pr5PuPb4 after structural relaxation, from Alexandria. Values from VASP.

## Properties
- DFT formation energy (eV/f.u.) = -1.10
- spin magnetization (μB/cell) = 5.46

```
&SYSTEM
  ibrav = 0, nat = 10, ntyp = 3
/
ATOMIC_SPECIES
Pr 140.91 Pr.upf
Pu 244.00 Pu.upf
Pb 207.20 Pb.upf
ATOMIC_POSITIONS angstrom
Pr 0.000 0.000 0.000
Pr 6.051 0.000 1.353
Pr 4.811 0.000 6.634
Pr 12.345 0.000 2.986
Pr 11.106 0.000 8.267
Pu -1.308 0.000 4.810
Pb 1.754 0.000 5.614
Pb 9.130 0.000 2.390
Pb 8.027 0.000 7.230
Pb 15.403 0.000 4.006
CELL_PARAMETERS angstrom
9.886 -1.920 0.000
9.886 1.920 0.000
-2.616 0.000 9.620
```


(8)
The following is a PBE calculation of Ce2GePb after structural relaxation, from Alexandria. Values from VASP.

## Properties
- DFT formation energy (eV/f.u.) = -2.09
- spin magnetization (μB/cell) = 1.89

```
&SYSTEM
  ibrav = 0, nat = 4, ntyp = 3
/
ATOMIC_SPECIES
Ce 140.12 Ce.upf
Ge 72.64 Ge.upf
Pb 207.20 Pb.upf
ATOMIC_POSITIONS angstrom
Ce 0.000 0.000 1.908
Ce 0.000 0.000 6.786
Ge 1.741 1.741 0.000
Pb 1.741 1.741 4.347
CELL_PARAMETERS angstrom
3.481 0.000 0.000
0.000 3.481 0.000
0.000 0.000 8.694
```


(9)
The following is a PBE calculation of SrInGe2 after structural relaxation, from Alexandria. Values from VASP.

## Properties
- DFT formation energy (eV/f.u.) = -0.79
- spin magnetization (μB/cell) = 0.00

```
&SYSTEM
  ibrav = 0, nat = 4, ntyp = 3
/
ATOMIC_SPECIES
Sr 87.62 Sr.upf
In 114.82 In.upf
Ge 72.64 Ge.upf
ATOMIC_POSITIONS angstrom
Sr 0.000 0.000 0.000
In 0.000 0.000 8.030
Ge 0.000 0.000 3.401
Ge 0.000 0.000 12.658
CELL_PARAMETERS angstrom
2.408 1.390 5.353
-2.408 1.390 5.353
0.000 -2.780 5.353
```


(10)
The following is a PBE calculation of LiTa2Ag after structural relaxation, from Alexandria. Values from VASP.

## Properties
- DFT formation energy (eV/f.u.) = 2.05
- spin magnetization (μB/cell) = 0.00

```
&SYSTEM
  ibrav = 0, nat = 4, ntyp = 3
/
ATOMIC_SPECIES
Li 6.94 Li.upf
Ta 180.95 Ta.upf
Ag 107.87 Ag.upf
ATOMIC_POSITIONS angstrom
Li 0.000 0.000 0.000
Ta 1.378 1.378 2.191
Ta 1.378 1.378 6.826
Ag 0.000 0.000 4.509
CELL_PARAMETERS angstrom
2.756 0.000 0.000
0.000 2.756 0.000
0.000 0.000 9.018
```


(11)
The following is a PBE calculation of Ti2C after structural relaxation, from Alexandria. Values from VASP.

## Properties
- DFT formation energy (eV/f.u.) = -1.91
- spin magnetization (μB/cell) = 0.00

```
&SYSTEM
  ibrav = 0, nat = 3, ntyp = 2
/
ATOMIC_SPECIES
Ti 47.87 Ti.upf
C 12.01 C.upf
ATOMIC_POSITIONS angstrom
Ti 0.000 0.000 3.555
Ti 0.000 0.000 10.926
C 0.000 0.000 7.240
CELL_PARAMETERS angstrom
1.543 0.891 4.827
-1.543 0.891 4.827
0.000 -1.781 4.827
```


(12)
The following is a PBE calculation of NbHSe2 after structural relaxation, from Alexandria. Values from VASP.

## Properties
- energy (eV/atom) = -5.50
- spin magnetization (μB/cell) = 0.00

```
&SYSTEM
  ibrav = 0, nat = 4, ntyp = 3
/
ATOMIC_SPECIES
Nb 92.91 Nb.upf
H 1.01 H.upf
Se 78.96 Se.upf
ATOMIC_POSITIONS angstrom
Nb 0.000 0.000 0.000
H 0.000 0.000 10.240
Se 0.000 0.000 8.467
Se 0.000 0.000 12.013
CELL_PARAMETERS angstrom
1.777 1.026 6.827
-1.777 1.026 6.827
0.000 -2.051 6.827
```


(13)
The following is a PBE calculation of ZrTlSi3 after structural relaxation, from Alexandria. Values from VASP.

## Properties
- spin magnetization (μB/cell) = 0.00
- formation energy from raw total energies (eV per atom) = 0.580

```
&SYSTEM
  ibrav = 0, nat = 5, ntyp = 3
/
ATOMIC_SPECIES
Zr 91.22 Zr.upf
Tl 204.38 Tl.upf
Si 28.09 Si.upf
ATOMIC_POSITIONS angstrom
Zr 0.000 0.000 0.000
Tl 2.574 2.574 2.574
Si 0.000 0.000 2.574
Si 0.000 2.574 0.000
Si 2.574 0.000 0.000
CELL_PARAMETERS angstrom
5.148 0.000 0.000
0.000 5.148 0.000
0.000 0.000 5.148
```


(14)
The following is a PBE calculation of SnPd3Pt after structural relaxation, from Alexandria. Values from VASP.

## Properties
- DFT formation energy (eV/f.u.) = 3.80
- spin magnetization (μB/cell) = 0.00

```
&SYSTEM
  ibrav = 0, nat = 5, ntyp = 3
/
ATOMIC_SPECIES
Sn 118.71 Sn.upf
Pd 106.42 Pd.upf
Pt 195.08 Pt.upf
ATOMIC_POSITIONS angstrom
Sn 0.000 0.000 0.000
Pd 0.000 2.451 2.451
Pd 2.451 0.000 2.451
Pd 2.451 2.451 0.000
Pt 2.451 2.451 2.451
CELL_PARAMETERS angstrom
4.901 0.000 0.000
0.000 4.901 0.000
0.000 0.000 4.901
```


(15)
The following is a PBE calculation of YTaCdCo2 after structural relaxation, from Alexandria. Values from VASP.

## Properties
- DFT formation energy (eV/f.u.) = 9.06
- spin magnetization (μB/cell) = 2.69

```
&SYSTEM
  ibrav = 0, nat = 5, ntyp = 4
/
ATOMIC_SPECIES
Y 88.91 Y.upf
Ta 180.95 Ta.upf
Cd 112.41 Cd.upf
Co 58.93 Co.upf
ATOMIC_POSITIONS angstrom
Y 0.000 0.000 0.000
Ta 0.000 0.000 2.568
Cd 2.320 2.320 2.568
Co 0.000 2.320 0.000
Co 2.320 0.000 0.000
CELL_PARAMETERS angstrom
4.640 0.000 0.000
0.000 4.640 0.000
0.000 0.000 5.136
```


(16)
The following is a PBE calculation of PmHoSbO2 after structural relaxation, from Alexandria. Values from VASP.

## Properties
- spin magnetization (μB/cell) = 0.00
- formation energy from raw total energies (eV per atom) = -2.671

```
&SYSTEM
  ibrav = 0, nat = 5, ntyp = 4
/
ATOMIC_SPECIES
Pm 145.00 Pm.upf
Ho 164.93 Ho.upf
Sb 121.76 Sb.upf
O 16.00 O.upf
ATOMIC_POSITIONS angstrom
Pm 0.000 0.000 0.000
Ho 0.000 0.000 4.466
Sb 0.000 0.000 9.015
O 1.950 0.000 5.536
O 0.000 1.950 5.536
CELL_PARAMETERS angstrom
-1.950 1.950 6.764
1.950 -1.950 6.764
1.950 1.950 -6.764
```


(17)
The following is a PBE calculation of LaMg2Mo after structural relaxation, from Alexandria. Values from VASP.

## Properties
- DFT formation energy (eV/f.u.) = 1.78
- spin magnetization (μB/cell) = 1.32

```
&SYSTEM
  ibrav = 0, nat = 4, ntyp = 3
/
ATOMIC_SPECIES
La 138.91 La.upf
Mg 24.30 Mg.upf
Mo 95.94 Mo.upf
ATOMIC_POSITIONS angstrom
La 0.000 0.000 0.000
Mg 1.790 1.790 1.790
Mg 5.369 5.369 5.369
Mo 3.580 3.580 3.580
CELL_PARAMETERS angstrom
0.000 3.580 3.580
3.580 0.000 3.580
3.580 3.580 0.000
```


(18)
The following is a PBE calculation of Al2TcNiH after structural relaxation, from Alexandria. Values from VASP.

## Properties
- energy (eV/atom) = -5.62
- spin magnetization (μB/cell) = 0.00

```
&SYSTEM
  ibrav = 0, nat = 5, ntyp = 4
/
ATOMIC_SPECIES
Al 26.98 Al.upf
Tc 98.00 Tc.upf
Ni 58.69 Ni.upf
H 1.01 H.upf
ATOMIC_POSITIONS angstrom
Al 0.000 2.064 0.000
Al 2.064 0.000 0.000
Tc 0.000 0.000 1.662
Ni 2.064 2.064 1.662
H 0.000 0.000 0.000
CELL_PARAMETERS angstrom
4.128 0.000 0.000
0.000 4.128 0.000
0.000 0.000 3.325
```


(19)
The following is a PBE calculation of AcSm3Ho6Er2 after structural relaxation, from Alexandria. Values from VASP.

## Properties
- DFT formation energy (eV/f.u.) = 0.36
- spin magnetization (μB/cell) = 0.00

```
&SYSTEM
  ibrav = 0, nat = 12, ntyp = 4
/
ATOMIC_SPECIES
Ac 227.00 Ac.upf
Sm 150.36 Sm.upf
Ho 164.93 Ho.upf
Er 167.26 Er.upf
ATOMIC_POSITIONS angstrom
Ac 0.000 0.000 0.000
Sm 2.073 3.580 5.841
Sm 2.073 0.000 5.841
Sm 2.073 -3.580 5.841
Ho 1.048 1.809 2.942
Ho 0.023 0.000 8.738
Ho 1.048 -1.809 2.942
Ho 3.098 1.809 8.740
Ho 4.124 0.000 2.945
Ho 3.098 -1.809 8.740
Er 3.105 1.793 0.000
Er 3.105 -1.793 0.000
CELL_PARAMETERS angstrom
3.105 -5.376 0.000
3.105 5.376 0.000
-2.064 0.000 11.682
```


(20)
The following is a PBE calculation of Ti4NiPd after structural relaxation, from Alexandria. Values from VASP.

## Properties
- DFT formation energy (eV/f.u.) = -1.13
- spin magnetization (μB/cell) = 0.00

```
&SYSTEM
  ibrav = 0, nat = 6, ntyp = 3
/
ATOMIC_SPECIES
Ti 47.87 Ti.upf
Ni 58.69 Ni.upf
Pd 106.42 Pd.upf
ATOMIC_POSITIONS angstrom
Ti 2.246 0.000 0.008
Ti 3.730 0.000 2.377
Ti 8.305 0.000 2.309
Ti 9.789 0.000 4.677
Ni 6.915 0.000 0.000
Pd -0.897 0.000 2.343
CELL_PARAMETERS angstrom
6.915 -1.456 0.000
6.915 1.456 0.000
-1.794 0.000 4.686
```


(21)
The following is a PBE calculation of ScMo2N after structural relaxation, from Alexandria. Values from VASP.

## Properties
- spin magnetization (μB/cell) = 0.00
- formation energy from raw total energies (eV per atom) = -0.197

```
&SYSTEM
  ibrav = 0, nat = 8, ntyp = 3
/
ATOMIC_SPECIES
Sc 44.96 Sc.upf
Mo 95.94 Mo.upf
N 14.01 N.upf
ATOMIC_POSITIONS angstrom
Sc 0.000 0.000 0.000
Sc 0.000 3.578 1.147
Mo 1.789 -0.954 1.720
Mo 2.624 1.789 0.573
Mo 1.789 4.533 -0.573
Mo 0.954 1.789 2.866
N 3.578 0.000 1.147
N 0.000 0.000 2.293
CELL_PARAMETERS angstrom
-3.578 3.578 2.293
3.578 -3.578 2.293
3.578 3.578 -2.293
```


(22)
The following is a PBE calculation of SiSbTe2I after structural relaxation, from Alexandria. Values from VASP.

## Properties
- spin magnetization (μB/cell) = 0.00
- formation energy from raw total energies (eV per atom) = 1.314

```
&SYSTEM
  ibrav = 0, nat = 5, ntyp = 4
/
ATOMIC_SPECIES
Si 28.09 Si.upf
Sb 121.76 Sb.upf
Te 127.60 Te.upf
I 126.90 I.upf
ATOMIC_POSITIONS angstrom
Si 0.000 0.000 0.000
Sb 2.871 2.871 0.000
Te 0.000 2.871 2.918
Te 2.871 0.000 2.918
I 2.871 2.871 2.918
CELL_PARAMETERS angstrom
5.742 0.000 0.000
0.000 5.742 0.000
0.000 0.000 5.837
```


(23)
The following is a PBE calculation of ZrScRe4 after structural relaxation, from Alexandria. Values from VASP.

## Properties
- DFT formation energy (eV/f.u.) = -1.92
- spin magnetization (μB/cell) = 0.01

```
&SYSTEM
  ibrav = 0, nat = 6, ntyp = 3
/
ATOMIC_SPECIES
Zr 91.22 Zr.upf
Sc 44.96 Sc.upf
Re 186.21 Re.upf
ATOMIC_POSITIONS angstrom
Zr 0.000 0.000 0.000
Sc 1.872 1.872 1.872
Re 4.680 2.808 2.808
Re 2.808 4.680 2.808
Re 2.808 2.808 4.680
Re 4.680 4.680 4.680
CELL_PARAMETERS angstrom
0.000 3.744 3.744
3.744 0.000 3.744
3.744 3.744 0.000
```


(24)
The following is a PBE calculation of Mn3VS after structural relaxation, from Alexandria. Values from VASP.

## Properties
- spin magnetization (μB/cell) = 5.86
- formation energy from raw total energies (eV per atom) = 0.252

```
&SYSTEM
  ibrav = 0, nat = 5, ntyp = 3
/
ATOMIC_SPECIES
Mn 54.94 Mn.upf
V 50.94 V.upf
S 32.06 S.upf
ATOMIC_POSITIONS angstrom
Mn 0.000 0.000 2.135
Mn 0.000 2.135 0.000
Mn 2.135 0.000 0.000
V 2.135 2.135 2.135
S 0.000 0.000 0.000
CELL_PARAMETERS angstrom
4.270 0.000 0.000
0.000 4.270 0.000
0.000 0.000 4.270
```


(25)
The following is a PBE calculation of HgGeBi after structural relaxation, from Alexandria. Values from VASP.

## Properties
- DFT formation energy (eV/f.u.) = 0.56
- spin magnetization (μB/cell) = 0.00

```
&SYSTEM
  ibrav = 0, nat = 6, ntyp = 3
/
ATOMIC_SPECIES
Hg 200.59 Hg.upf
Ge 72.64 Ge.upf
Bi 208.98 Bi.upf
ATOMIC_POSITIONS angstrom
Hg 0.000 0.000 0.000
Hg 2.816 5.920 3.011
Ge 2.815 3.155 3.740
Ge 5.615 6.121 5.765
Bi 2.807 1.764 0.289
Bi 5.623 4.009 2.613
CELL_PARAMETERS angstrom
5.616 0.000 0.000
2.807 4.890 0.000
0.000 3.094 5.907
```


(26)
The following is a PBE calculation of MgSbTe2 after structural relaxation, from Alexandria. Values from VASP.

## Properties
- spin magnetization (μB/cell) = 0.00
- formation energy from raw total energies (eV per atom) = -0.254

```
&SYSTEM
  ibrav = 0, nat = 4, ntyp = 3
/
ATOMIC_SPECIES
Mg 24.30 Mg.upf
Sb 121.76 Sb.upf
Te 127.60 Te.upf
ATOMIC_POSITIONS angstrom
Mg 0.000 0.000 0.000
Sb 3.746 0.000 2.224
Te 6.615 0.000 2.238
Te 9.928 0.000 4.472
CELL_PARAMETERS angstrom
6.398 -2.175 0.000
6.398 2.175 0.000
-0.010 0.000 4.496
```


(27)
The following is a PBE calculation of MgCuN2F after structural relaxation, from Alexandria. Values from VASP.

## Properties
- spin magnetization (μB/cell) = 0.00
- formation energy from raw total energies (eV per atom) = 0.757

```
&SYSTEM
  ibrav = 0, nat = 5, ntyp = 4
/
ATOMIC_SPECIES
Mg 24.30 Mg.upf
Cu 63.55 Cu.upf
N 14.01 N.upf
F 19.00 F.upf
ATOMIC_POSITIONS angstrom
Mg 0.000 0.000 0.000
Cu 2.013 2.013 1.866
N 0.000 2.013 0.000
N 2.013 0.000 0.000
F 0.000 0.000 1.866
CELL_PARAMETERS angstrom
4.026 0.000 0.000
0.000 4.026 0.000
0.000 0.000 3.733
```


(28)
The following is a PBE calculation of AgPt2W after structural relaxation, from Alexandria. Values from VASP.

## Properties
- DFT formation energy (eV/f.u.) = 0.18
- spin magnetization (μB/cell) = 0.00

```
&SYSTEM
  ibrav = 0, nat = 4, ntyp = 3
/
ATOMIC_SPECIES
Ag 107.87 Ag.upf
Pt 195.08 Pt.upf
W 183.84 W.upf
ATOMIC_POSITIONS angstrom
Ag 0.000 0.000 0.000
Pt 1.437 2.006 1.387
Pt 1.437 -2.006 1.387
W 2.873 0.000 0.000
CELL_PARAMETERS angstrom
2.873 -4.012 0.000
2.873 4.012 0.000
0.000 0.000 2.773
```